# 1
# SiAgIr2

A relaxed structure of SiAgIr2 (PBE, the Alexandria database).

Geometry as POSCAR:
```
SiAgIr2
1.0
-4.883 -0.058 1.974
3.108 -4.027 1.367
0.320 0.220 2.780
Ag Ir Si
1 2 1
Direct
0.000 0.500 0.500
0.000 0.000 0.000
0.500 0.500 0.000
0.500 0.000 0.500
```

Computed properties:
Electronic total energy (hartree per atom): -0.230
Formation energy without anion corrections (eV/atom): 0.239
Crystal system: monoclinic



# 2
# SiAg2Ir

A relaxed structure of SiAg2Ir (PBE, the Alexandria database).

Geometry as POSCAR:
```
SiAg2Ir
1.0
-3.803 1.538 -2.795
3.712 -2.374 -2.286
-1.373 -2.579 0.449
Ag Ir Si
2 1 1
Direct
0.500 0.500 0.000
0.000 0.000 0.000
0.500 0.000 0.500
0.000 0.500 0.500
```

Computed properties:
Electronic total energy (hartree per atom): -0.172
Formation energy without anion corrections (eV/atom): 0.305
Crystal system: orthorhombic



# 3
# Si2AgIr

A relaxed structure of Si2AgIr (PBE, the Alexandria database).

Geometry as POSCAR:
```
Si2AgIr
1.0
3.424 0.000 0.000
0.000 3.472 0.000
0.000 0.000 5.060
Ir Ag Si
1 1 2
Direct
0.500 0.500 0.800
0.000 0.000 0.464
0.000 0.000 0.962
0.500 0.500 0.274
```

Computed properties:
Polymorph energy (0 for the lowest one) (kJ/mol of formula units): 14
Electronic total energy (hartree per atom): -0.208
Formation energy without anion corrections (eV/atom): -0.015
Crystal system: orthorhombic



# 4
# SiAgIr2

A relaxed structure of SiAgIr2 (PBE, the Alexandria database).

Geometry as POSCAR:
```
SiAgIr2
1.0
-0.230 3.206 1.645
-4.015 -0.136 -0.295
-0.200 -1.848 3.574
Ag Si Ir
1 1 2
Direct
0.500 0.000 0.500
0.500 0.500 0.000
0.000 0.000 0.000
0.000 0.500 0.500
```

Computed properties:
Electronic total energy (hartree per atom): -0.233
Formation energy without anion corrections (eV/atom): 0.148
Crystal system: tetragonal



# 5
# SiAg2Ir

A relaxed structure of SiAg2Ir (PBE, the Alexandria database).

Geometry as POSCAR:
```
SiAg2Ir
1.0
4.454 -0.023 0.000
0.033 4.454 0.000
-2.243 -2.215 3.146
Si Ir Ag
1 1 2
Direct
0.750 0.250 0.500
0.500 0.500 0.000
0.000 0.000 0.000
0.250 0.750 0.500
```

Computed properties:
Electronic total energy (hartree per atom): -0.176
Formation energy without anion corrections (eV/atom): 0.220
Crystal system: cubic



# 6
# Si3AgIr3

A relaxed structure of Si3AgIr3 (PBE, the Alexandria database).

Geometry as POSCAR:
```
Si3AgIr3
1.0
6.540 0.000 0.000
0.000 6.540 0.000
0.000 0.000 6.540
Ir Si Ag
6 6 2
Direct
0.000 0.750 0.500
0.000 0.250 0.500
0.750 0.500 0.000
0.500 0.000 0.250
0.250 0.500 0.000
0.500 0.000 0.750
0.000 0.500 0.750
0.000 0.500 0.250
0.250 0.000 0.500
0.750 0.000 0.500
0.500 0.250 0.000
0.500 0.750 0.000
0.500 0.500 0.500
0.000 0.000 0.000
```

Computed properties:
Electronic total energy (hartree per atom): -0.239
Formation energy without anion corrections (eV/atom): 0.021
Crystal system: cubic